# 1
Material: FeBiF3
Method: DFT, PBEsol
State: optimized geometry

POSCAR file:
```
FeBiF3
1.0
-2.953 -3.477 -0.395
2.673 -1.907 -3.190
2.258 -2.288 3.260
F Fe Bi
3 1 1
Cartesian
1.336 -0.954 -1.595
1.129 -1.144 1.630
-1.476 -1.738 -0.198
0.989 -3.836 -0.163
0.000 0.000 0.000
```

Results
Energy ... -23.31 eV/cell
Raw formation energy ... -82.5 kJ/mol of atoms
SG ... Pm-3m



# 2
Material: Fe2HgBiF
Method: DFT, PBEsol
State: optimized geometry

POSCAR file:
```
Fe2HgBiF
1.0
-4.115 -2.642 1.078
1.437 -3.554 -3.223
2.808 -2.664 4.189
Fe F Bi Hg
2 1 1 1
Cartesian
0.719 -1.777 -1.611
-2.058 -1.321 0.539
0.065 -4.430 1.022
0.000 0.000 0.000
1.404 -1.332 2.095
```

Results
Energy ... -19.68 eV/cell
Raw formation energy ... 97.0 kJ/mol of atoms
SG ... P4/mmm



# 3
Material: Ga3BiF
Method: DFT, PBEsol
State: optimized geometry

POSCAR file:
```
Ga3BiF
1.0
5.675 0.000 0.000
0.000 5.675 0.000
0.000 0.000 5.675
Bi Ga F
1 3 1
Cartesian
0.000 0.000 0.000
0.000 2.837 0.000
0.000 0.000 2.837
2.837 0.000 0.000
2.837 2.837 2.837
```

Results
Energy ... -14.20 eV/cell
Raw formation energy ... 39.2 kJ/mol of atoms
SG ... Pm-3m



# 4
Material: GaBiOF2
Method: DFT, PBEsol
State: optimized geometry

POSCAR file:
```
GaBiOF2
1.0
3.653 0.000 0.000
0.000 4.350 0.000
0.000 0.000 4.350
O Bi Ga F
1 1 1 2
Cartesian
1.826 0.000 0.000
1.826 2.175 2.175
0.000 0.000 0.000
0.000 0.000 2.175
0.000 2.175 0.000
```

Results
Energy ... -23.85 eV/cell
Raw formation energy ... -137.4 kJ/mol of atoms
SG ... P4/mmm